Entry 1:
First-principles (PBE-GGA) data for PaWC after structural relaxation, as listed in the Alexandria database.

a = 6.4002 Å, b = 3.1537 Å, c = 9.8105 Å
α = 90.00°, β = 90.00°, γ = 90.00°
Positions (direct):
Pa1 0.0020 0.2500 0.1789
Pa2 0.4980 0.7500 0.6789
Pa3 0.5020 0.2500 0.3211
Pa4 0.9980 0.7500 0.8211
W1 0.1469 0.7500 0.4496
W2 0.3531 0.2500 0.9496
W3 0.6469 0.7500 0.0504
W4 0.8531 0.2500 0.5504
C1 0.2453 0.7500 0.0732
C2 0.2547 0.2500 0.5732
C3 0.7453 0.7500 0.4268
C4 0.7547 0.2500 0.9268

Summary:
Total moment: 0.000 μB per cell
ΔE to the lowest computed polymorph: 110 meV per atom
Fermi-level density of states: 0.91 states/eV per atom


Entry 2:
First-principles (PBE-GGA) data for DyPuNiOs after structural relaxation, as listed in the Alexandria database.

a = 4.7855 Å, b = 4.7855 Å, c = 4.7855 Å
α = 60.00°, β = 60.00°, γ = 60.00°
Positions (direct):
Dy1 0.0000 0.0000 0.0000
Pu1 0.5000 0.5000 0.5000
Ni1 0.7500 0.7500 0.7500
Os1 0.2500 0.2500 0.2500

Summary:
Total moment: 4.524 μB per cell
DFT total energy: -9.121 eV per atom
Fermi-level density of states: 2.14 states/eV per atom


Entry 3:
First-principles (PBE-GGA) data for Ac2YIn after structural relaxation, as listed in the Alexandria database.

a = 5.1854 Å, b = 5.1854 Å, c = 5.2392 Å
α = 90.00°, β = 90.00°, γ = 90.00°
Positions (direct):
Ac1 0.0000 0.5000 0.0000
Ac2 0.5000 0.0000 0.0000
Y1 0.0000 0.0000 0.5000
In1 0.5000 0.5000 0.5000

Summary:
Total moment: 0.001 μB per cell
ΔE to the lowest computed polymorph: 19 meV per atom
Fermi-level density of states: 1.63 states/eV per atom


Entry 4:
First-principles (PBE-GGA) data for MnFeCl2 after structural relaxation, as listed in the Alexandria database.

a = 6.3186 Å, b = 6.3186 Å, c = 6.3186 Å
α = 147.85°, β = 147.85°, γ = 46.11°
Positions (direct):
Mn1 0.0000 0.0000 0.0000
Fe1 0.7500 0.2500 0.5000
Cl1 0.2500 0.7500 0.5000
Cl2 0.5000 0.5000 0.0000

Summary:
Total moment: 7.089 μB per cell
Uncorrected formation energy: 0.190 eV per atom
ΔE to the lowest computed polymorph: 550 meV per atom
Fermi-level density of states: 1.22 states/eV per atom


Entry 5:
First-principles (PBE-GGA) data for TlCdPb2 after structural relaxation, as listed in the Alexandria database.

a = 5.5120 Å, b = 5.5120 Å, c = 5.5120 Å
α = 60.00°, β = 60.00°, γ = 60.00°
Positions (direct):
Tl1 0.0000 0.0000 0.0000
Cd1 0.5000 0.5000 0.5000
Pb1 0.2500 0.2500 0.2500
Pb2 0.7500 0.7500 0.7500

Summary:
Total moment: 0.000 μB per cell
ΔE to the lowest computed polymorph: 48 meV per atom
Fermi-level density of states: 0.70 states/eV per atom


Entry 6:
First-principles (PBE-GGA) data for Na2MnAlH6 after structural relaxation, as listed in the Alexandria database.

a = 5.0620 Å, b = 5.0599 Å, c = 5.0544 Å
α = 60.06°, β = 60.02°, γ = 59.91°
Positions (direct):
Na1 0.2500 0.2500 0.2500
Na2 0.7500 0.7500 0.7500
Mn1 0.0000 0.0000 0.0000
Al1 0.5000 0.5000 0.5000
H1 0.2484 0.7516 0.2484
H2 0.2485 0.7515 0.7515
H3 0.2486 0.2486 0.7514
H4 0.7514 0.7514 0.2486
H5 0.7515 0.2485 0.2485
H6 0.7516 0.2484 0.7516

Summary:
Total moment: 2.574 μB per cell
DFT total energy: -3.571 eV per atom
Fermi-level density of states: 0.51 states/eV per atom


- Look up the Fermi-level density of states of the first one.
  0.91 states/eV per atom


- total moment of number 2 (DyPuNiOs)?
  4.524 μB per cell


- Fermi-level density of states of number 3 (Ac2YIn)?
  1.63 states/eV per atom